# Pd2PbSe (GGA-PBE, optimized geometry)
data_Pd2PbSe
_chemical_formula_sum 'Pd4 Pb2 Se2'
_cell_length_a 3.9668
_cell_length_b 6.8964
_cell_length_c 7.2491
_cell_angle_alpha 115.01
_cell_angle_beta 105.82
_cell_angle_gamma 90.11
_symmetry_space_group_name_H-M 'P -1'
_symmetry_Int_Tables_number 2
loop_
_symmetry_equiv_pos_as_xyz
'x,y,z'
'-x,-y,-z'
loop_
_atom_site_label
_atom_site_type_symbol
_atom_site_fract_x
_atom_site_fract_y
_atom_site_fract_z
Pd1 Pd 0.0373 0.3402 0.0762
Pd2 Pd 0.2945 0.6547 0.5888
Pb1 Pb 0.3715 0.3167 0.7431
Se1 Se 0.1276 0.0985 0.2564
# - D(E_F) (states/eV/cell) = 3.506
# - DFT total energy (eV per cell) = -37.2

***

# Sr2PdPbSe (GGA-PBE, optimized geometry)
data_Sr2PdPbSe
_chemical_formula_sum 'Sr2 Pd1 Pb1 Se1'
_cell_length_a 5.8796
_cell_length_b 5.8796
_cell_length_c 4.8096
_cell_angle_alpha 90.00
_cell_angle_beta 90.00
_cell_angle_gamma 90.00
_symmetry_space_group_name_H-M 'P 4/m m m'
_symmetry_Int_Tables_number 123
_symmetry_space_group_name_Hall '-P 4 2'
loop_
_atom_site_label
_atom_site_type_symbol
_atom_site_fract_x
_atom_site_fract_y
_atom_site_fract_z
Sr1 Sr 0.0000 0.5000 0.0000
Pd1 Pd 0.0000 0.0000 0.5000
Pb1 Pb 0.5000 0.5000 0.5000
Se1 Se 0.0000 0.0000 0.0000
# - D(E_F) (states/eV/cell) = 3.958
# - DFT total energy (eV per cell) = -19.2

***

# Ta3Pd4PbSe12 (GGA-PBE, optimized geometry)
data_Ta3Pd4PbSe12
_chemical_formula_sum 'Ta9 Pd12 Pb3 Se36'
_cell_length_a 13.9022
_cell_length_b 13.9022
_cell_length_c 9.6519
_cell_angle_alpha 90.00
_cell_angle_beta 90.00
_cell_angle_gamma 120.00
_symmetry_space_group_name_H-M 'R 3 2'
_symmetry_Int_Tables_number 155
_symmetry_space_group_name_Hall 'R 3 2"'
loop_
_atom_site_label
_atom_site_type_symbol
_atom_site_fract_x
_atom_site_fract_y
_atom_site_fract_z
Ta1 Ta 0.0000 0.5510 0.0000
Pd1 Pd 0.0000 0.0000 0.5000
Pd2 Pd 0.0000 0.4332 0.5000
Pb1 Pb 0.0000 0.0000 0.0000
Se1 Se 0.0000 0.6068 0.5000
Se2 Se 0.0000 0.8273 0.5000
Se3 Se 0.0596 0.2065 0.1848
# - D(E_F) (states/eV/cell) = 35.269
# - DFT total energy (eV per cell) = -320.1

***

# PdPb2WSe (GGA-PBE, optimized geometry)
data_PdPb2WSe
_chemical_formula_sum 'Pd1 Pb2 W1 Se1'
_cell_length_a 5.4474
_cell_length_b 5.4474
_cell_length_c 4.8172
_cell_angle_alpha 90.00
_cell_angle_beta 90.00
_cell_angle_gamma 90.00
_symmetry_space_group_name_H-M 'P 4/m m m'
_symmetry_Int_Tables_number 123
_symmetry_space_group_name_Hall '-P 4 2'
loop_
_atom_site_label
_atom_site_type_symbol
_atom_site_fract_x
_atom_site_fract_y
_atom_site_fract_z
Pd1 Pd 0.0000 0.0000 0.0000
Pb1 Pb 0.0000 0.5000 0.5000
W1 W 0.0000 0.0000 0.5000
Se1 Se 0.5000 0.5000 0.0000
# - D(E_F) (states/eV/cell) = 5.337
# - DFT total energy (eV per cell) = -24.5

***

Look up the D(E_F) of the first one. 3.506 states/eV/cell

***

Which of these has the highest D(E_F)? Ta3Pd4PbSe12

***

Repeat the second record exactly.
# Sr2PdPbSe (GGA-PBE, optimized geometry)
data_Sr2PdPbSe
_chemical_formula_sum 'Sr2 Pd1 Pb1 Se1'
_cell_length_a 5.8796
_cell_length_b 5.8796
_cell_length_c 4.8096
_cell_angle_alpha 90.00
_cell_angle_beta 90.00
_cell_angle_gamma 90.00
_symmetry_space_group_name_H-M 'P 4/m m m'
_symmetry_Int_Tables_number 123
_symmetry_space_group_name_Hall '-P 4 2'
loop_
_atom_site_label
_atom_site_type_symbol
_atom_site_fract_x
_atom_site_fract_y
_atom_site_fract_z
Sr1 Sr 0.0000 0.5000 0.0000
Pd1 Pd 0.0000 0.0000 0.5000
Pb1 Pb 0.5000 0.5000 0.5000
Se1 Se 0.0000 0.0000 0.0000
# - D(E_F) (states/eV/cell) = 3.958
# - DFT total energy (eV per cell) = -19.2